No. 1
First-principles (PBE) data for an optimized crystal structure of NdSm2Sb, as listed in Alexandria via LeMat-Bulk.

Structure (CIF):
```
data_NdSm2Sb
_cell_length_a 4.9051
_cell_length_b 4.9051
_cell_length_c 4.8740
_cell_angle_alpha 90.00
_cell_angle_beta 90.00
_cell_angle_gamma 90.00
_symmetry_space_group_name_H-M 'P 4/m m m'
_symmetry_Int_Tables_number 123
_symmetry_space_group_name_Hall '-P 4 2'
loop_
_atom_site_label
_atom_site_type_symbol
_atom_site_fract_x
_atom_site_fract_y
_atom_site_fract_z
Nd1 Nd 0.0000 0.0000 0.0000
Sm1 Sm 0.0000 0.5000 0.5000
Sb1 Sb 0.5000 0.5000 0.0000
```

Summary:
Raw formation energy ... -0.536 eV/atom
Volume ... 29.32 Å³ per atom



No. 2
First-principles (PBE) data for an optimized crystal structure of GdLuHg4, as listed in Alexandria via LeMat-Bulk.

Structure (CIF):
```
data_GdLuHg4
_cell_length_a 8.4001
_cell_length_b 8.4001
_cell_length_c 8.4001
_cell_angle_alpha 90.00
_cell_angle_beta 90.00
_cell_angle_gamma 90.00
_symmetry_space_group_name_H-M 'F -4 3 m'
_symmetry_Int_Tables_number 216
_symmetry_space_group_name_Hall 'F -4 2 3'
loop_
_atom_site_label
_atom_site_type_symbol
_atom_site_fract_x
_atom_site_fract_y
_atom_site_fract_z
Gd1 Gd 0.0000 0.0000 0.0000
Lu1 Lu 0.2500 0.2500 0.2500
Hg1 Hg 0.1250 0.1250 0.6250
```

Summary:
ΔH_f (0 K) ... -0.17 eV/atom
Volume ... 24.70 Å³ per atom



No. 3
First-principles (PBE) data for an optimized crystal structure of KSnB, as listed in Alexandria via LeMat-Bulk.

Structure (CIF):
```
data_KSnB
_cell_length_a 3.9515
_cell_length_b 3.9515
_cell_length_c 5.5604
_cell_angle_alpha 90.00
_cell_angle_beta 90.00
_cell_angle_gamma 120.00
_symmetry_space_group_name_H-M 'P -6 m 2'
_symmetry_Int_Tables_number 187
_symmetry_space_group_name_Hall 'P -6 2'
loop_
_atom_site_label
_atom_site_type_symbol
_atom_site_fract_x
_atom_site_fract_y
_atom_site_fract_z
K1 K 0.0000 0.0000 0.0000
Sn1 Sn 0.6667 0.3333 0.5000
B1 B 0.3333 0.6667 0.5000
```

Summary:
ΔH_f (0 K) ... 0.30 eV/atom
Volume ... 25.06 Å³ per atom



No. 4
First-principles (PBE) data for an optimized crystal structure of La2Pd9Au, as listed in Alexandria via LeMat-Bulk.

Structure (CIF):
```
data_La2Pd9Au
_cell_length_a 4.1868
_cell_length_b 4.1868
_cell_length_c 12.3111
_cell_angle_alpha 90.00
_cell_angle_beta 90.00
_cell_angle_gamma 90.00
_symmetry_space_group_name_H-M 'P 4/m m m'
_symmetry_Int_Tables_number 123
_symmetry_space_group_name_Hall '-P 4 2'
loop_
_atom_site_label
_atom_site_type_symbol
_atom_site_fract_x
_atom_site_fract_y
_atom_site_fract_z
La1 La 0.0000 0.0000 0.1757
Pd1 Pd 0.0000 0.5000 0.0000
Pd2 Pd 0.0000 0.5000 0.3444
Pd3 Pd 0.5000 0.5000 0.1712
Pd4 Pd 0.5000 0.5000 0.5000
Au1 Au 0.0000 0.0000 0.5000
```

Summary:
ΔH_f (0 K) ... -0.53 eV/atom
Volume ... 17.98 Å³ per atom



No. 5
First-principles (PBE) data for an optimized crystal structure of YAl2Ir, as listed in Alexandria via LeMat-Bulk.

Structure (CIF):
```
data_YAl2Ir
_cell_length_a 7.3360
_cell_length_b 4.2350
_cell_length_c 5.5774
_cell_angle_alpha 90.00
_cell_angle_beta 115.91
_cell_angle_gamma 90.00
_symmetry_space_group_name_H-M 'C 1 2/m 1'
_symmetry_Int_Tables_number 12
loop_
_symmetry_equiv_pos_as_xyz
'x,y,z'
'-x,-y,-z'
'-x,y,-z'
'x,-y,z'
'x+1/2,y+1/2,z'
'-x+1/2,-y+1/2,-z'
'-x+1/2,y+1/2,-z'
'x+1/2,-y+1/2,z'
loop_
_atom_site_label
_atom_site_type_symbol
_atom_site_fract_x
_atom_site_fract_y
_atom_site_fract_z
Y1 Y 0.0000 0.0000 0.0000
Al1 Al 0.2085 0.0000 0.6261
Ir1 Ir 0.0000 0.5000 0.5000
```

Summary:
ΔH_f (0 K) ... -0.74 eV/atom
Volume ... 19.48 Å³ per atom



No. 6
First-principles (PBE) data for an optimized crystal structure of Rb5MnSe4, as listed in Alexandria via LeMat-Bulk.

Structure (CIF):
```
data_Rb5MnSe4
_cell_length_a 10.3805
_cell_length_b 10.5619
_cell_length_c 7.6124
_cell_angle_alpha 90.00
_cell_angle_beta 90.00
_cell_angle_gamma 90.00
_symmetry_space_group_name_H-M 'P m m n'
_symmetry_Int_Tables_number 59
loop_
_symmetry_equiv_pos_as_xyz
'x,y,z'
'-x,-y,-z'
'-x+1/2,-y+1/2,z'
'x+1/2,y+1/2,-z'
'x+1/2,-y,-z'
'-x+1/2,y,z'
'-x,y+1/2,-z'
'x,-y+1/2,z'
loop_
_atom_site_label
_atom_site_type_symbol
_atom_site_fract_x
_atom_site_fract_y
_atom_site_fract_z
Rb1 Rb 0.0193 0.0601 0.2397
Rb2 Rb 0.2500 0.7500 0.3620
Mn1 Mn 0.2500 0.2500 0.7132
Se1 Se 0.0371 0.2500 0.8610
Se2 Se 0.2500 0.0416 0.5623
```

Summary:
Raw formation energy ... -0.907 eV/atom
Volume ... 41.73 Å³ per atom



No. 7
First-principles (PBE) data for an optimized crystal structure of TaSiS3, as listed in Alexandria via LeMat-Bulk.

Structure (CIF):
```
data_TaSiS3
_cell_length_a 4.4208
_cell_length_b 4.4208
_cell_length_c 4.4208
_cell_angle_alpha 90.00
_cell_angle_beta 90.00
_cell_angle_gamma 90.00
_symmetry_space_group_name_H-M 'P m -3 m'
_symmetry_Int_Tables_number 221
_symmetry_space_group_name_Hall '-P 4 2 3'
loop_
_atom_site_label
_atom_site_type_symbol
_atom_site_fract_x
_atom_site_fract_y
_atom_site_fract_z
Ta1 Ta 0.0000 0.0000 0.0000
Si1 Si 0.5000 0.5000 0.5000
S1 S 0.0000 0.5000 0.5000
```

Summary:
Raw formation energy ... 0.460 eV/atom
Volume ... 17.28 Å³ per atom



No. 8
First-principles (PBE) data for an optimized crystal structure of K2PtBr5, as listed in Alexandria via LeMat-Bulk.

Structure (CIF):
```
data_K2PtBr5
_cell_length_a 7.7156
_cell_length_b 7.7156
_cell_length_c 9.4720
_cell_angle_alpha 90.00
_cell_angle_beta 90.00
_cell_angle_gamma 90.00
_symmetry_space_group_name_H-M 'I 4 m m'
_symmetry_Int_Tables_number 107
_symmetry_space_group_name_Hall 'I 4 -2'
loop_
_atom_site_label
_atom_site_type_symbol
_atom_site_fract_x
_atom_site_fract_y
_atom_site_fract_z
K1 K 0.0000 0.5000 0.0000
Pt1 Pt 0.0000 0.0000 0.2368
Br1 Br 0.0000 0.0000 0.9608
Br2 Br 0.2273 0.2273 0.2561
```

Summary:
Raw formation energy ... -0.964 eV/atom
Volume ... 35.24 Å³ per atom



No. 9
First-principles (PBE) data for an optimized crystal structure of Pm6Hg5, as listed in Alexandria via LeMat-Bulk.

Structure (CIF):
```
data_Pm6Hg5
_cell_length_a 5.3260
_cell_length_b 7.6413
_cell_length_c 15.8655
_cell_angle_alpha 90.00
_cell_angle_beta 90.00
_cell_angle_gamma 90.00
_symmetry_space_group_name_H-M 'I m m m'
_symmetry_Int_Tables_number 71
_symmetry_space_group_name_Hall '-I 2 2'
loop_
_atom_site_label
_atom_site_type_symbol
_atom_site_fract_x
_atom_site_fract_y
_atom_site_fract_z
Pm1 Pm 0.0000 0.2457 0.0000
Pm2 Pm 0.0000 0.2539 0.3368
Hg1 Hg 0.0000 0.0000 0.1676
Hg2 Hg 0.0000 0.0000 0.5000
Hg3 Hg 0.0000 0.5000 0.1680
```

Summary:
ΔH_f (0 K) ... -0.38 eV/atom
Volume ... 29.35 Å³ per atom



No. 10
First-principles (PBE) data for an optimized crystal structure of GdLu2Ir, as listed in Alexandria via LeMat-Bulk.

Structure (CIF):
```
data_GdLu2Ir
_cell_length_a 3.4419
_cell_length_b 3.4419
_cell_length_c 8.4773
_cell_angle_alpha 90.00
_cell_angle_beta 90.00
_cell_angle_gamma 90.00
_symmetry_space_group_name_H-M 'P 4/m m m'
_symmetry_Int_Tables_number 123
_symmetry_space_group_name_Hall '-P 4 2'
loop_
_atom_site_label
_atom_site_type_symbol
_atom_site_fract_x
_atom_site_fract_y
_atom_site_fract_z
Gd1 Gd 0.0000 0.0000 0.0000
Lu1 Lu 0.5000 0.5000 0.3135
Ir1 Ir 0.0000 0.0000 0.5000
```

Summary:
ΔH_f (0 K) ... -0.49 eV/atom
Volume ... 25.11 Å³ per atom



No. 11
First-principles (PBE) data for an optimized crystal structure of ZnReOs2, as listed in Alexandria via LeMat-Bulk.

Structure (CIF):
```
data_ZnReOs2
_cell_length_a 2.7666
_cell_length_b 3.8608
_cell_length_c 5.3905
_cell_angle_alpha 90.00
_cell_angle_beta 90.00
_cell_angle_gamma 90.00
_symmetry_space_group_name_H-M 'P m m m'
_symmetry_Int_Tables_number 47
loop_
_symmetry_equiv_pos_as_xyz
'x,y,z'
'-x,-y,-z'
'-x,-y,z'
'x,y,-z'
'x,-y,-z'
'-x,y,z'
'-x,y,-z'
'x,-y,z'
loop_
_atom_site_label
_atom_site_type_symbol
_atom_site_fract_x
_atom_site_fract_y
_atom_site_fract_z
Zn1 Zn 0.0000 0.0000 0.0000
Re1 Re 0.0000 0.0000 0.5000
Os1 Os 0.5000 0.5000 0.2489
```

Summary:
ΔH_f (0 K) ... 0.21 eV/atom
Volume ... 14.39 Å³ per atom



No. 12
First-principles (PBE) data for an optimized crystal structure of InTcAs2, as listed in Alexandria via LeMat-Bulk.

Structure (CIF):
```
data_InTcAs2
_cell_length_a 3.1696
_cell_length_b 3.1696
_cell_length_c 27.8628
_cell_angle_alpha 90.00
_cell_angle_beta 90.00
_cell_angle_gamma 120.00
_symmetry_space_group_name_H-M 'R -3 m'
_symmetry_Int_Tables_number 166
_symmetry_space_group_name_Hall '-R 3 2"'
loop_
_atom_site_label
_atom_site_type_symbol
_atom_site_fract_x
_atom_site_fract_y
_atom_site_fract_z
In1 In 0.0000 0.0000 0.0000
Tc1 Tc 0.0000 0.0000 0.5000
As1 As 0.0000 0.0000 0.2301
```

Summary:
ΔH_f (0 K) ... -0.06 eV/atom
Volume ... 20.20 Å³ per atom